Record 1
Compound: Sm5Dy4Th2
Source: the Alexandria database
Functional: PBE
Structure: relaxed

Lattice parameters (Å, degrees): 8.8596 3.5058 11.8377 90.00 94.29 90.00
Last column: nearest neighbours and their distance in Å.
Element x y z (fractional)
Sm  0.0000  0.0000  0.0000  6 Sm 3.44-3.51, 4 Dy 3.64
Sm  0.0734  0.0000  0.2895  4 Sm 3.44-3.58, 1 Th 3.50, 6 Dy 3.60-3.74
Sm  0.3064  0.0000  0.8375  1 Th 3.28, 4 Sm 3.44-3.58, 4 Dy 3.60-3.65
Sm  0.6936  0.0000  0.1625  1 Th 3.28, 4 Sm 3.44-3.58, 4 Dy 3.60-3.65
Sm  0.9266  0.0000  0.7105  4 Sm 3.44-3.58, 1 Th 3.50, 6 Dy 3.60-3.74
Dy  0.1961  0.5000  0.5454  3 Dy 3.51-3.56, 4 Th 3.58-3.72, 4 Sm 3.60-3.65
Dy  0.3402  0.5000  0.1082  2 Dy 3.51, 8 Sm 3.60-3.74, 2 Th 3.62
Dy  0.6598  0.5000  0.8918  2 Dy 3.51, 8 Sm 3.60-3.74, 2 Th 3.62
Dy  0.8039  0.5000  0.4546  3 Dy 3.51-3.56, 4 Th 3.58-3.72, 4 Sm 3.60-3.65
Th  0.4625  0.0000  0.3667  3 Th 3.18-3.51, 2 Sm 3.28-3.50
Th  0.5375  0.0000  0.6333  3 Th 3.18-3.51, 2 Sm 3.28-3.50

Calculated values
E above lowest polymorph: 0 meV/atom
Energy relative to the elements: 0.13 eV/atom
DOS(E_F): 1.777 states/eV per atom

=====

Record 2
Compound: Ta2CuCl
Source: the Alexandria database
Functional: PBE
Structure: relaxed

Lattice parameters (Å, degrees): 3.7227 4.4785 9.1136 90.00 90.00 90.00
Last column: nearest neighbours and their distance in Å.
Element x y z (fractional)
Ta  0.0000  0.0000  0.0000  4 Cl 2.61-2.89, 6 Ta 2.88-2.91
Ta  0.0000  0.5000  0.2417  4 Cu 2.63-2.91, 6 Ta 2.88-2.91
Ta  0.5000  0.0000  0.2417  4 Cu 2.63-2.91, 6 Ta 2.88-2.91
Ta  0.5000  0.5000  0.0000  4 Cl 2.61-2.89, 6 Ta 2.88-2.91
Cu  0.0000  0.0000  0.4453  4 Ta 2.63-2.91, 4 Cu 2.91
Cu  0.5000  0.5000  0.4453  4 Ta 2.63-2.91, 4 Cu 2.91
Cl  0.0000  0.5000  0.7988  4 Ta 2.61-2.89, 4 Cl 2.91
Cl  0.5000  0.0000  0.7988  4 Ta 2.61-2.89, 4 Cl 2.91

Calculated values
Raw formation energy: 0.15 eV/f.u.
E above lowest polymorph: 36 meV/atom
DOS(E_F): 0.681 states/eV per atom

=====

Record 3
Compound: CeGa4
Source: the Alexandria database
Functional: PBE
Structure: relaxed

Lattice parameters (Å, degrees): 7.9859 7.9859 7.9859 148.13 132.40 58.42
Last column: nearest neighbours and their distance in Å.
Element x y z (fractional)
Ce  0.3651  0.1151  0.2500  13 Ga 3.07-3.23
Ce  0.6349  0.8849  0.7500  13 Ga 3.07-3.23
Ga  0.0000  0.5000  0.5000  6 Ga 2.76-3.09
Ga  0.1446  0.8946  0.2500  10 Ga 2.88-3.09, 3 Ce 3.07-3.23
Ga  0.1592  0.6974  0.4619  6 Ga 2.64-2.88
Ga  0.2645  0.3026  0.9619  6 Ga 2.64-2.88
Ga  0.5000  0.5000  0.0000  6 Ga 2.76-3.09
Ga  0.7355  0.6974  0.0381  6 Ga 2.64-2.88
Ga  0.8408  0.3026  0.5381  6 Ga 2.64-2.88
Ga  0.8554  0.1054  0.7500  10 Ga 2.88-3.09, 3 Ce 3.07-3.23

Calculated values
E above lowest polymorph: 0 meV/atom
Energy relative to the elements: -0.44 eV/atom
DOS(E_F): 0.961 states/eV per atom